VASP calculation (SCAN) on a crystal of InWBr relaxed with PBEsol.

Unit cell a=2.989 b=5.352 c=15.797 alpha=90.00 beta=90.00 gamma=90.00
Space group Fmm2 (No. 42)
Asymmetric unit:
In (0.000, 0.000, 0.000) (multiplicity 4)
W (0.000, 0.000, 0.659) (multiplicity 4)
Br (0.000, 0.000, 0.290) (multiplicity 4)

Properties
excess energy over the best structure of this formula in the dataset: 0 meV/atom